1.
Entry from Alexandria via LeMat-Bulk: a relaxed structure of TiOs (PBE-GGA).

a b c (Å): 6.711 8.028 9.788
angles (deg): 90.00 90.00 90.00
Space group Fddd (No. 70, origin choice 2)
One atom of each set of equivalent atoms:
Ti 0.125 0.310 0.125 x16
Os 0.063 0.375 0.875 x16

density of states at the Fermi level: 1.17 states/eV/f.u.
crystal system: orthorhombic
ΔH_f (0 K): 64 meV per atom
final energy: -303.95 eV/cell
M_tot: 0.000 μB/atom
calculated volume: 16.48 Å³ per atom



2.
Entry from Alexandria via LeMat-Bulk: a relaxed structure of Nb2ReW (PBE-GGA).

a b c (Å): 4.564 4.564 3.219
angles (deg): 90.00 90.00 90.00
Space group P4/mmm (No. 123)
One atom of each set of equivalent atoms:
Nb 0.000 0.500 0.000 x2
Re 0.000 0.000 0.500 x1
W 0.500 0.500 0.500 x1

density of states at the Fermi level: 1.84 states/eV/f.u.
crystal system: tetragonal
ΔH_f (0 K): -183 meV per atom
final energy: -46.27 eV/cell
M_tot: 0.000 μB/atom
calculated volume: 16.76 Å³ per atom



3.
Entry from Alexandria via LeMat-Bulk: a relaxed structure of CoBi2Os (PBE-GGA).

a b c (Å): 5.999 5.999 12.009
angles (deg): 90.00 90.00 90.00
Space group I-42d (No. 122)
One atom of each set of equivalent atoms:
Co 0.000 0.000 0.000 x4
Bi 0.234 0.250 0.125 x8
Os 0.000 0.000 0.500 x4

density of states at the Fermi level: 3.08 states/eV/f.u.
crystal system: tetragonal
excess energy over the best structure of this formula in the dataset: 288 meV/atom
ΔH_f (0 K): 1074 meV per atom
final energy: -87.21 eV/cell
M_tot: 0.019 μB/atom
calculated volume: 27.01 Å³ per atom



4.
Entry from Alexandria via LeMat-Bulk: a relaxed structure of NaErTlPb (PBE-GGA).

a b c (Å): 7.600 7.600 7.600
angles (deg): 90.00 90.00 90.00
Space group F-43m (No. 216)
One atom of each set of equivalent atoms:
Na 0.000 0.000 0.000 x4
Er 0.000 0.000 0.500 x4
Tl 0.250 0.250 0.250 x4
Pb 0.250 0.250 0.750 x4

density of states at the Fermi level: 1.45 states/eV/f.u.
crystal system: cubic
excess energy over the best structure of this formula in the dataset: 22 meV/atom
ΔH_f (0 K): -226 meV per atom
final energy: -51.44 eV/cell
M_tot: 0.000 μB/atom
calculated volume: 27.43 Å³ per atom



5.
Entry from Alexandria via LeMat-Bulk: a relaxed structure of CsHfAgHg2 (PBE-GGA).

a b c (Å): 6.391 6.391 6.262
angles (deg): 90.00 90.00 90.00
Space group P4/mmm (No. 123)
One atom of each set of equivalent atoms:
Cs 0.000 0.000 0.000 x1
Hf 0.000 0.000 0.500 x1
Ag 0.500 0.500 0.500 x1
Hg 0.000 0.500 0.000 x2

density of states at the Fermi level: 3.77 states/eV/f.u.
crystal system: tetragonal
ΔH_f (0 K): 1573 meV per atom
final energy: -6.40 eV/cell
M_tot: 0.452 μB/atom
calculated volume: 51.15 Å³ per atom



6.
Entry from Alexandria via LeMat-Bulk: a relaxed structure of In2CoIr2S6 (PBE-GGA).

a b c (Å): 6.195 10.744 6.974
angles (deg): 90.00 108.65 90.00
Space group C2/m (No. 12)
One atom of each set of equivalent atoms:
In 0.000 0.169 0.000 x4
Co 0.000 0.000 0.500 x2
Ir 0.000 0.331 0.500 x4
S 0.225 0.163 0.677 x8
S 0.241 0.500 0.671 x4

formation energy from raw total energies: -30.8 kJ per mole of atoms
density of states at the Fermi level: 3.55 states/eV/f.u.
crystal system: monoclinic
final energy: -117.16 eV/cell
M_tot: 0.000 μB/atom
calculated volume: 19.99 Å³ per atom